# 1
Entry from Alexandria: an optimized crystal structure of Mg8InHg2 (PBE).

```
Mg8InHg2
1.0
-4.115 -0.598 -2.109
1.621 -7.272 -1.101
-1.684 2.348 7.775
Mg Hg In
8 2 1
Direct
0.340 0.563 0.680
0.156 0.156 0.312
0.660 0.882 0.320
0.844 0.844 0.688
0.000 0.705 0.000
0.660 0.437 0.320
0.000 0.295 0.000
0.340 0.118 0.680
0.184 0.684 0.369
0.816 0.316 0.631
0.500 0.000 0.000
```

Summary:
VASP energy	-0.0583	hartree per atom
E_form	-12	kJ/mol of atoms
ΔE to the lowest computed polymorph	0	meV/atom
spin magnetization	0.000	μB/cell

# 2
Entry from Alexandria: an optimized crystal structure of TbNd2DyY5 (PBE).

```
TbNd2DyY5
1.0
8.680 0.000 0.000
0.000 8.680 0.000
-4.340 -4.340 7.859
Y Nd Tb Dy
10 4 2 2
Direct
0.071 0.571 0.722
0.150 0.071 0.722
0.350 0.850 0.278
0.429 0.350 0.278
0.929 0.429 0.278
0.850 0.929 0.278
0.500 0.500 0.000
0.000 0.000 0.000
0.571 0.650 0.722
0.650 0.150 0.722
0.618 0.118 0.000
0.382 0.882 0.000
0.118 0.382 0.000
0.882 0.618 0.000
0.250 0.250 0.500
0.750 0.750 0.500
0.250 0.750 0.500
0.750 0.250 0.500
```

Summary:
VASP energy	-0.1992	hartree per atom
E_form	25	kJ/mol of atoms
spin magnetization	0.000	μB/cell

# 3
Entry from Alexandria: an optimized crystal structure of Ca2AsF (PBE).

```
Ca2AsF
1.0
5.615 0.000 0.000
0.000 5.952 0.173
0.000 -0.571 12.374
As Ca F
4 8 4
Direct
0.753 0.998 0.638
0.247 0.002 0.362
0.753 0.502 0.862
0.247 0.498 0.138
0.804 0.004 0.876
0.196 0.504 0.376
0.196 0.996 0.124
0.804 0.496 0.624
0.746 0.435 0.093
0.254 0.565 0.907
0.254 0.935 0.593
0.746 0.065 0.407
0.201 0.558 0.571
0.799 0.442 0.429
0.799 0.058 0.071
0.201 0.942 0.929
```

Summary:
VASP energy	-0.1736	hartree per atom
ΔE to the lowest computed polymorph	0	meV/atom
spin magnetization	0.000	μB/cell
energy relative to the elements, uncorrected	-48.2	kcal/mol of atoms

# 4
Entry from Alexandria: an optimized crystal structure of Sm3YEr2Tm6 (PBE).

```
Sm3YEr2Tm6
1.0
-4.347 4.158 1.169
1.417 -4.213 4.218
8.912 7.084 2.599
Tm Sm Er Y
6 3 2 1
Direct
0.583 0.917 0.752
0.748 0.748 0.248
0.083 0.417 0.248
0.252 0.252 0.752
0.417 0.083 0.248
0.917 0.583 0.752
0.167 0.833 0.500
0.500 0.500 0.500
0.833 0.167 0.500
0.333 0.667 0.000
0.667 0.333 0.000
0.000 0.000 0.000
```

Summary:
VASP energy	-0.1724	hartree per atom
E_form	2	kJ/mol of atoms
spin magnetization	0.002	μB/cell

# 5
Entry from Alexandria: an optimized crystal structure of Na2CrSbBr (PBE).

```
Na2CrSbBr
1.0
6.125 0.000 0.000
0.000 4.920 0.000
0.000 0.000 6.125
Sb Cr Na Br
1 1 2 1
Direct
0.000 0.500 0.000
0.000 0.000 0.000
0.000 0.000 0.500
0.500 0.000 0.000
0.500 0.500 0.500
```

Summary:
VASP energy	-0.1318	hartree per atom
spin magnetization	4.000	μB/cell
energy relative to the elements, uncorrected	0.6	kcal/mol of atoms

# 6
Entry from Alexandria: an optimized crystal structure of TbNd3H (PBE).

```
TbNd3H
1.0
5.149 0.000 0.000
0.000 5.149 0.000
0.000 0.000 5.149
Tb H Nd
1 1 3
Direct
0.500 0.500 0.500
0.000 0.000 0.000
0.500 0.000 0.000
0.000 0.500 0.000
0.000 0.000 0.500
```

Summary:
VASP energy	-0.1700	hartree per atom
spin magnetization	0.000	μB/cell

# 7
Entry from Alexandria: an optimized crystal structure of Dy7Ho2Er2 (PBE).

```
Dy7Ho2Er2
1.0
-8.087 -1.013 -2.646
0.934 -5.300 -3.544
-2.125 -3.369 5.065
Dy Ho Er
7 2 2
Direct
0.209 0.081 0.449
0.409 0.847 0.847
0.791 0.551 0.919
0.591 0.153 0.153
0.000 0.000 0.000
0.209 0.449 0.081
0.791 0.919 0.551
0.500 0.676 0.324
0.500 0.324 0.676
0.857 0.394 0.394
0.143 0.606 0.606
```

Summary:
VASP energy	-0.1646	hartree per atom
E_form	11	kJ/mol of atoms
ΔE to the lowest computed polymorph	0	meV/atom
spin magnetization	0.000	μB/cell

# 8
Entry from Alexandria: an optimized crystal structure of Li4CO4 (PBE).

```
Li4CO4
1.0
4.145 0.000 0.000
0.000 4.145 0.000
0.000 0.000 4.145
Li O C
4 4 1
Direct
0.720 0.720 0.280
0.280 0.280 0.280
0.720 0.280 0.720
0.280 0.720 0.720
0.200 0.800 0.200
0.800 0.200 0.200
0.800 0.800 0.800
0.200 0.200 0.800
0.000 0.000 0.000
```

Summary:
VASP energy	-0.2068	hartree per atom
spin magnetization	0.000	μB/cell
energy relative to the elements, uncorrected	-35.7	kcal/mol of atoms

# 9
Entry from Alexandria: an optimized crystal structure of MgB2 (PBE).

```
MgB2
1.0
-1.115 -2.802 -0.634
2.999 0.363 0.612
-0.632 -0.519 3.406
Mg B
1 2
Direct
0.000 0.000 0.500
0.333 0.667 0.000
0.667 0.333 0.000
```

Summary:
VASP energy	-0.1878	hartree per atom
E_form	-12	kJ/mol of atoms
ΔE to the lowest computed polymorph	0	meV/atom
spin magnetization	0.000	μB/cell

# 10
Entry from Alexandria: an optimized crystal structure of LaHfCo2 (PBE).

```
LaHfCo2
1.0
3.223 0.000 0.000
0.000 3.223 0.000
0.000 0.000 7.001
La Co Hf
1 2 1
Direct
0.500 0.500 0.500
0.000 0.000 0.798
0.000 0.000 0.202
0.500 0.500 0.000
```

Summary:
VASP energy	-0.2733	hartree per atom
E_form	-16	kJ/mol of atoms
ΔE to the lowest computed polymorph	0	meV/atom
spin magnetization	0.737	μB/cell

# 11
Entry from Alexandria: an optimized crystal structure of AlPdS2Cl (PBE).

```
AlPdS2Cl
1.0
-3.209 -0.168 -3.383
-3.362 -0.410 3.209
-0.400 4.500 0.156
Al S Pd Cl
1 2 1 1
Direct
0.000 0.000 0.000
0.500 0.000 0.000
0.000 0.500 0.000
0.500 0.500 0.500
0.000 0.000 0.500
```

Summary:
VASP energy	-0.1389	hartree per atom
ΔE to the lowest computed polymorph	0	meV/atom
spin magnetization	0.171	μB/cell
energy relative to the elements, uncorrected	0.6	kcal/mol of atoms

# 12
Entry from Alexandria: an optimized crystal structure of KRbCd2H (PBE).

```
KRbCd2H
1.0
5.884 0.000 0.000
0.000 4.991 0.000
0.000 0.000 5.884
K Cd Rb H
1 2 1 1
Direct
0.000 0.500 0.000
0.500 0.000 0.000
0.000 0.000 0.500
0.500 0.500 0.500
0.000 0.000 0.000
```

Summary:
VASP energy	-0.0481	hartree per atom
spin magnetization	0.000	μB/cell